(1)
Entry from Alexandria via LeMat-Bulk: a relaxed La3ScTl crystal (GGA-PBE).

Cell: 5.682 5.682 5.682 Å, 90.00 90.00 90.00°
Space group Pm-3m (No. 221)
Symmetry-distinct sites (fractional):
La (0.000, 0.000, 0.500)
Sc (0.000, 0.000, 0.000)
Tl (0.500, 0.500, 0.500)

Properties
formation energy	0.416	eV per atom
DOS at the Fermi energy	1.1272	states/eV/atom
calculated total energy	-4.2799	eV per atom
energy above the lowest structure with this stoichiometry	0.00	eV per formula unit

---

(2)
Entry from Alexandria via LeMat-Bulk: a relaxed La4ScTl5 crystal (GGA-PBE).

Cell: 3.799 3.799 20.628 Å, 90.00 90.00 90.00°
Space group P4/mmm (No. 123)
Symmetry-distinct sites (fractional):
La (0.000, 0.000, 0.105)
La (0.000, 0.000, 0.315)
Sc (0.000, 0.000, 0.500)
Tl (0.500, 0.500, 0.000)
Tl (0.500, 0.500, 0.211)
Tl (0.500, 0.500, 0.420)

Properties
formation energy	-0.395	eV per atom
DOS at the Fermi energy	0.8137	states/eV/atom
calculated total energy	-4.1818	eV per atom

---

(3)
Entry from Alexandria via LeMat-Bulk: a relaxed La2ScTl crystal (GGA-PBE).

Cell: 4.847 4.847 5.034 Å, 90.00 90.00 90.00°
Space group P4/mmm (No. 123)
Symmetry-distinct sites (fractional):
La (0.000, 0.500, 0.000)
Sc (0.000, 0.000, 0.500)
Tl (0.500, 0.500, 0.500)

Properties
formation energy	-0.188	eV per atom
DOS at the Fermi energy	1.3851	states/eV/atom
calculated total energy	-4.8266	eV per atom
energy above the lowest structure with this stoichiometry	0.00	eV per formula unit

---

(4)
Entry from Alexandria via LeMat-Bulk: a relaxed La3ScTl2 crystal (GGA-PBE).

Cell: 4.698 4.863 17.086 Å, 90.00 90.00 90.00°
Space group Immm (No. 71)
Symmetry-distinct sites (fractional):
La (0.000, 0.000, 0.000)
La (0.000, 0.500, 0.324)
Sc (0.000, 0.000, 0.500)
Tl (0.000, 0.500, 0.132)

Properties
formation energy	-0.251	eV per atom
DOS at the Fermi energy	1.3301	states/eV/atom
calculated total energy	-4.5583	eV per atom
energy above the lowest structure with this stoichiometry	0.03	eV per formula unit